PRuN2O | PBE | relaxed

Calculated values
Its raw formation energy is 5.457 eV/f.u. The total magnetic moment is 0.0 μB per cell. Its space group is P4/mmm (123).

a b c (Å): 3.781 3.781 4.121
angles (deg): 90.00 90.00 90.00
Fractional positions:
1 P 0.000 0.000 0.000
2 Ru 0.500 0.500 0.500
3 N 0.000 0.500 0.500
4 N 0.500 0.000 0.500
5 O 0.500 0.500 0.000